Record 1
An optimized crystal structure of TaTi2BrO, computed with GGA-PBEsol.

POSCAR file:
```
TaTi2BrO
1.0
-1.7447 -2.4178 -2.9492
3.4166 -2.3876 -0.0638
-1.6423 -2.4293 2.9631
Ti O Br Ta
2 1 1 1
direct
0.0000 0.0000 0.5000
0.0000 0.5000 0.0000
0.0000 0.0000 0.0000
0.5000 0.5000 0.5000
0.5000 0.0000 0.0000
```

Output
energy	-38.7	eV per cell
energy relative to the elements, uncorrected	-0.472	eV/atom


Record 2
An optimized crystal structure of ScCuOs2, computed with GGA-PBEsol.

POSCAR file:
```
ScCuOs2
1.0
-0.4810 0.9021 2.4931
1.7319 -2.0641 -0.0207
6.5572 5.5090 -0.7284
Cu Os Sc
1 2 1
direct
0.5000 0.5000 0.0000
0.0000 0.0000 0.2426
0.0000 0.0000 0.7574
0.5000 0.5000 0.5000
```

Output
energy	-34.4	eV per cell
energy above the lowest structure with this stoichiometry	152	meV per atom


Record 3
An optimized crystal structure of YZrCu2, computed with GGA-PBEsol.

POSCAR file:
```
YZrCu2
1.0
-1.6637 0.1662 -2.9804
-0.2542 -4.2802 -0.0968
-3.9442 0.1589 3.3332
Y Cu Zr
1 2 1
direct
0.4815 0.0000 0.4158
0.8307 0.0000 0.9666
0.9248 0.5000 0.2662
0.2630 0.5000 0.8515
```

Output
energy	-25.1	eV per cell
energy above the lowest structure with this stoichiometry	11	meV per atom


Record 4
An optimized crystal structure of Ta3InSb, computed with GGA-PBEsol.

POSCAR file:
```
Ta3InSb
1.0
4.9545 0.0000 0.0000
0.0000 4.9545 0.0000
0.0000 0.0000 4.9545
Sb In Ta
1 1 3
direct
0.5000 0.5000 0.5000
0.0000 0.0000 0.0000
0.0000 0.5000 0.0000
0.0000 0.0000 0.5000
0.5000 0.0000 0.0000
```

Output
energy	-35.0	eV per cell
energy relative to the elements, uncorrected	2.034	eV/atom


Record 5
An optimized crystal structure of Hf3InS, computed with GGA-PBEsol.

POSCAR file:
```
Hf3InS
1.0
4.7136 0.0000 0.0000
0.0000 4.7136 0.0000
0.0000 0.0000 4.7136
S Hf In
1 3 1
direct
0.0000 0.0000 0.0000
0.0000 0.5000 0.0000
0.0000 0.0000 0.5000
0.5000 0.0000 0.0000
0.5000 0.5000 0.5000
```

Output
energy	-40.8	eV per cell
energy relative to the elements, uncorrected	-0.394	eV/atom


Record 6
An optimized crystal structure of LaCO, computed with GGA-PBEsol.

POSCAR file:
```
LaCO
1.0
3.9665 0.0000 0.0000
-1.9832 3.5054 -0.0066
0.0000 -0.6862 7.2297
C O La
2 2 2
direct
0.0401 0.0802 0.9260
0.9599 0.9198 0.0740
0.6524 0.3048 0.3790
0.3476 0.6952 0.6210
0.3159 0.6317 0.2917
0.6841 0.3683 0.7083
```

Output
energy	-51.8	eV per cell
energy relative to the elements, uncorrected	-1.886	eV/atom


Record 7
An optimized crystal structure of TlHgBr2, computed with GGA-PBEsol.

POSCAR file:
```
TlHgBr2
1.0
4.9658 0.0000 0.0000
2.4829 4.3005 0.0000
2.4829 1.4335 5.3867
Tl Hg Br
1 1 2
direct
0.0000 0.0000 0.0000
0.5000 0.5000 0.5000
0.2415 0.2415 0.2754
0.7585 0.7585 0.7246
```

Output
energy	-8.5	eV per cell
energy relative to the elements, uncorrected	-0.387	eV/atom


Record 8
An optimized crystal structure of CaOs2, computed with GGA-PBEsol.

POSCAR file:
```
CaOs2
1.0
2.8048 0.0000 0.0000
0.0000 4.5639 0.0000
0.0000 -2.2819 3.9524
Ca Os
1 2
direct
0.0000 0.0000 0.0000
0.5000 0.6667 0.3333
0.5000 0.3333 0.6667
```

Output
energy	-24.4	eV per cell


Record 9
An optimized crystal structure of RbGaB3, computed with GGA-PBEsol.

POSCAR file:
```
RbGaB3
1.0
4.3860 0.0000 0.0000
0.0000 4.3860 0.0000
0.0000 0.0000 4.3860
B Ga Rb
3 1 1
direct
0.0000 0.5000 0.0000
0.0000 0.0000 0.5000
0.5000 0.0000 0.0000
0.0000 0.0000 0.0000
0.5000 0.5000 0.5000
```

Output
energy	-16.4	eV per cell


Record 10
An optimized crystal structure of IrSe3O, computed with GGA-PBEsol.

POSCAR file:
```
IrSe3O
1.0
4.3074 0.0000 0.0000
0.0000 4.3074 0.0000
0.0000 0.0000 4.3074
Ir O Se
1 1 3
direct
0.5000 0.5000 0.5000
0.0000 0.0000 0.0000
0.0000 0.5000 0.0000
0.0000 0.0000 0.5000
0.5000 0.0000 0.0000
```

Output
energy	-22.3	eV per cell
energy relative to the elements, uncorrected	0.872	eV/atom


Record 11
An optimized crystal structure of LaTa2Pb, computed with GGA-PBEsol.

POSCAR file:
```
LaTa2Pb
1.0
2.9815 0.0000 0.0000
0.0000 5.6831 0.0251
0.0000 -2.1922 5.2433
La Pb Ta
1 1 2
direct
0.5000 0.0000 0.0000
0.5000 0.5000 0.5000
0.0000 0.5000 0.0000
0.0000 0.0000 0.5000
```

Output
energy	-31.8	eV per cell


Record 12
An optimized crystal structure of V2CuH3O7, computed with GGA-PBEsol.

POSCAR file:
```
V2CuH3O7
1.0
-3.7380 0.8752 3.4808
-2.6153 -2.1454 -4.1202
4.7333 -8.1913 3.9614
H O Cu V
6 14 2 4
direct
0.7349 0.1393 0.6043
0.2651 0.8607 0.3957
0.9344 0.2872 0.0526
0.0656 0.7128 0.9474
0.6775 0.0566 0.9518
0.3225 0.9434 0.0482
0.7318 0.7038 0.8790
0.2682 0.2962 0.1210
0.5030 0.9358 0.6833
0.4970 0.0642 0.3167
0.4327 0.3736 0.6222
0.5673 0.6264 0.3778
0.9639 0.7389 0.6581
0.0361 0.2611 0.3419
0.2272 0.2344 0.8262
0.7728 0.7656 0.1738
0.8946 0.1638 0.5635
0.1054 0.8362 0.4365
0.7311 0.2402 0.0120
0.2689 0.7598 0.9880
0.5000 0.5000 0.0000
0.0000 0.5000 0.5000
0.2111 0.0909 0.6682
0.7889 0.9091 0.3318
0.6581 0.6887 0.7114
0.3419 0.3113 0.2886
```

Output
energy	-182.8	eV per cell


Record 13
An optimized crystal structure of Al2AgAu, computed with GGA-PBEsol.

POSCAR file:
```
Al2AgAu
1.0
3.3478 0.0000 0.0000
0.0000 3.3970 0.0000
0.0000 0.0000 5.6704
Au Al Ag
1 2 1
direct
0.5000 0.5000 0.0000
0.0000 0.0000 0.7540
0.0000 0.0000 0.2460
0.5000 0.5000 0.5000
```

Output
energy	-16.1	eV per cell


Record 14
An optimized crystal structure of Sr2SbPt, computed with GGA-PBEsol.

POSCAR file:
```
Sr2SbPt
1.0
-2.8014 2.2154 -0.7803
-3.4883 -3.6823 2.0689
0.4678 2.3299 4.9357
Pt Sb Sr
1 1 2
direct
0.5000 0.5000 0.5000
0.5000 0.0000 0.0000
0.0000 0.0000 0.5000
0.0000 0.5000 0.0000
```

Output
energy	-17.9	eV per cell
energy relative to the elements, uncorrected	-0.683	eV/atom


Record 15
An optimized crystal structure of La3SeF, computed with GGA-PBEsol.

POSCAR file:
```
La3SeF
1.0
-2.6596 -3.7805 1.6446
4.1166 -2.5417 0.8145
0.2244 1.8215 4.5499
F Se La
1 1 3
direct
0.0000 0.0000 0.0000
0.5000 0.5000 0.5000
0.0000 0.5000 0.0000
0.0000 0.0000 0.5000
0.5000 0.0000 0.0000
```

Output
energy	-28.7	eV per cell
energy relative to the elements, uncorrected	-1.378	eV/atom


Record 16
An optimized crystal structure of ReNiTe2N, computed with GGA-PBEsol.

POSCAR file:
```
ReNiTe2N
1.0
3.6679 0.0000 0.0000
0.0000 5.2489 0.0000
0.0000 0.0000 5.2489
Re N Te Ni
1 1 2 1
direct
0.0000 0.0000 0.0000
0.5000 0.0000 0.0000
0.0000 0.0000 0.5000
0.0000 0.5000 0.0000
0.5000 0.5000 0.5000
```

Output
energy	-31.8	eV per cell
energy relative to the elements, uncorrected	0.654	eV/atom


Record 17
An optimized crystal structure of LiReCl3, computed with GGA-PBEsol.

POSCAR file:
```
LiReCl3
1.0
-3.7312 1.8422 -1.8465
-0.4109 -3.5978 -2.7590
-2.5757 -2.0946 3.1150
Re Li Cl
1 1 3
direct
0.5000 0.5000 0.5000
0.0000 0.0000 0.0000
0.0000 0.5000 0.0000
0.0000 0.0000 0.5000
0.5000 0.0000 0.0000
```

Output
energy	-19.7	eV per cell
energy relative to the elements, uncorrected	0.322	eV/atom


Record 18
An optimized crystal structure of LiHg2Os, computed with GGA-PBEsol.

POSCAR file:
```
LiHg2Os
1.0
2.8815 0.0000 0.0000
0.0000 4.8140 -0.0561
-1.4408 -1.7184 4.9104
Hg Li Os
2 1 1
direct
0.9910 0.9042 0.9820
0.7513 0.3286 0.5026
0.5109 0.4378 0.0218
0.2468 0.8295 0.4936
```

Output
energy	-14.0	eV per cell
energy above the lowest structure with this stoichiometry	0	meV per atom


Record 19
An optimized crystal structure of LiHf2Se2, computed with GGA-PBEsol.

POSCAR file:
```
LiHf2Se2
1.0
-0.9695 1.1376 3.0676
3.6206 -5.4428 3.1627
5.9473 4.1534 0.3393
Hf Se Li
4 4 2
direct
0.5000 0.1481 0.6481
0.5000 0.6481 0.8519
0.5000 0.8519 0.3519
0.5000 0.3519 0.1481
0.0000 0.3524 0.8524
0.0000 0.8524 0.6476
0.0000 0.6476 0.1476
0.0000 0.1476 0.3524
0.0000 0.0000 0.0000
0.0000 0.5000 0.5000
```

Output
energy	-69.1	eV per cell
energy relative to the elements, uncorrected	-0.777	eV/atom


Record 20
An optimized crystal structure of V2H2Os, computed with GGA-PBEsol.

POSCAR file:
```
V2H2Os
1.0
2.7844 0.0000 0.0000
0.0000 2.7844 0.0000
-1.3922 -1.3922 5.7878
H Os V
2 1 2
direct
0.2500 0.7500 0.5000
0.7500 0.2500 0.5000
0.0000 0.0000 0.0000
0.3514 0.3514 0.7028
0.6486 0.6486 0.2972
```

Output
energy	-39.4	eV per cell


Record 21
An optimized crystal structure of MgTa2BeI, computed with GGA-PBEsol.

POSCAR file:
```
MgTa2BeI
1.0
4.8613 0.0000 0.0000
0.0000 4.8613 0.0000
0.0000 0.0000 5.0233
I Be Mg Ta
1 1 1 2
direct
0.0000 0.0000 0.5000
0.5000 0.5000 0.5000
0.0000 0.0000 0.0000
0.0000 0.5000 0.0000
0.5000 0.0000 0.0000
```

Output
energy	-20.5	eV per cell
energy relative to the elements, uncorrected	2.427	eV/atom


Record 22
An optimized crystal structure of La2BiRh2, computed with GGA-PBEsol.

POSCAR file:
```
La2BiRh2
1.0
-0.6511 -0.8755 3.7368
-0.6066 -7.4333 -1.8473
7.5508 -0.8913 1.1069
Rh Bi La
4 2 4
direct
0.0000 0.3688 0.8688
0.0000 0.8688 0.6312
0.0000 0.6312 0.1312
0.0000 0.1312 0.3688
0.0000 0.0000 0.0000
0.0000 0.5000 0.5000
0.5000 0.1735 0.6735
0.5000 0.6735 0.8265
0.5000 0.8265 0.3265
0.5000 0.3265 0.1735
```

Output
energy	-69.9	eV per cell
energy above the lowest structure with this stoichiometry	0	meV per atom


Record 23
An optimized crystal structure of CuRu2Br, computed with GGA-PBEsol.

POSCAR file:
```
CuRu2Br
1.0
2.8639 0.0000 0.0000
1.4319 2.4802 0.0000
1.4319 0.8267 8.0009
Br Cu Ru
1 1 2
direct
0.5000 0.5000 0.5000
0.0000 0.0000 0.0000
0.2510 0.2510 0.2471
0.7490 0.7490 0.7529
```

Output
energy	-23.6	eV per cell
energy above the lowest structure with this stoichiometry	0	meV per atom
energy relative to the elements, uncorrected	0.738	eV/atom


Record 24
An optimized crystal structure of Zn2HgAu2, computed with GGA-PBEsol.

POSCAR file:
```
Zn2HgAu2
1.0
3.0134 0.0000 0.0000
0.0000 7.4955 0.0000
0.0000 0.0000 7.4955
Zn Au Hg
4 4 2
direct
0.5000 0.1565 0.6565
0.5000 0.6565 0.8435
0.5000 0.8435 0.3435
0.5000 0.3435 0.1565
0.0000 0.3592 0.8592
0.0000 0.8592 0.6408
0.0000 0.6408 0.1408
0.0000 0.1408 0.3592
0.0000 0.0000 0.0000
0.0000 0.5000 0.5000
```

Output
energy	-24.5	eV per cell
energy above the lowest structure with this stoichiometry	0	meV per atom


Record 25
An optimized crystal structure of La2ZrZn, computed with GGA-PBEsol.

POSCAR file:
```
La2ZrZn
1.0
-2.7421 -0.1085 -2.1455
-1.2072 -2.7999 1.6845
-4.2119 4.9055 5.1352
Zn Zr La
1 1 2
direct
0.0000 0.0000 0.5324
0.5000 0.5000 0.7053
0.0000 0.0000 0.9781
0.5000 0.5000 0.2842
```

Output
energy	-21.7	eV per cell


Record 26
An optimized crystal structure of Ca2LaMo, computed with GGA-PBEsol.

POSCAR file:
```
Ca2LaMo
1.0
4.5083 0.0000 0.0000
0.0000 4.5083 0.0000
0.0000 0.0000 5.2011
Mo Ca La
1 2 1
direct
0.0000 0.0000 0.5000
0.0000 0.5000 0.0000
0.5000 0.0000 0.0000
0.5000 0.5000 0.5000
```

Output
energy	-18.6	eV per cell
energy above the lowest structure with this stoichiometry	221	meV per atom


Record 27
An optimized crystal structure of TcTeAu2, computed with GGA-PBEsol.

POSCAR file:
```
TcTeAu2
1.0
-0.9612 1.5617 3.4666
-2.4242 -3.0063 0.6822
3.4280 -2.3122 1.9921
Au Tc Te
2 1 1
direct
0.0000 0.5000 0.0000
0.5000 0.0000 0.0000
0.5000 0.5000 0.5000
0.0000 0.0000 0.5000
```

Output
energy	-20.7	eV per cell
energy relative to the elements, uncorrected	0.488	eV/atom


Record 28
An optimized crystal structure of Rb2Sb2Cl, computed with GGA-PBEsol.

POSCAR file:
```
Rb2Sb2Cl
1.0
-3.3076 -0.6639 -2.5387
-0.1159 -4.0438 1.2086
-4.4068 4.7263 8.0163
Sb Rb Cl
2 2 1
direct
0.2500 0.7500 0.5000
0.7500 0.2500 0.5000
0.4081 0.4081 0.8161
0.5919 0.5919 0.1839
0.0000 0.0000 0.0000
```

Output
energy	-17.5	eV per cell
energy relative to the elements, uncorrected	-0.872	eV/atom